# 1
Density functional theory data (PBE-GGA) for a relaxed structure of LiNb3Se5.

Computed properties:
E_tot in eV per atom: -6.080

Structure (CIF):
```
data_LiNb3Se5
_symmetry_space_group_name_H-M 'P 6/m m m'
_symmetry_Int_Tables_number 191
_symmetry_space_group_name_Hall '-P 6 2'
_cell_length_a 5.7941
_cell_length_b 5.7941
_cell_length_c 7.6334
_cell_angle_alpha 90.00
_cell_angle_beta 90.00
_cell_angle_gamma 120.00
loop_
_atom_site_label
_atom_site_type_symbol
_atom_site_fract_x
_atom_site_fract_y
_atom_site_fract_z
_atom_site_occupancy
Li1 Li 0.0000 0.0000 0.0000 1
Nb1 Nb 0.0000 0.5000 0.5000 1
Se1 Se 0.0000 0.0000 0.5000 1
Se2 Se 0.3333 0.6667 0.2312 1
```

# 2
Density functional theory data (PBE-GGA) for a relaxed structure of LiNbTlSe3.

Computed properties:
E_tot in eV per atom: -4.863

Structure (CIF):
```
data_LiNbTlSe3
_symmetry_space_group_name_H-M 'C m c m'
_symmetry_Int_Tables_number 63
_symmetry_space_group_name_Hall '-C 2c 2'
_cell_length_a 3.7243
_cell_length_b 14.5168
_cell_length_c 10.2589
_cell_angle_alpha 90.00
_cell_angle_beta 90.00
_cell_angle_gamma 90.00
loop_
_atom_site_label
_atom_site_type_symbol
_atom_site_fract_x
_atom_site_fract_y
_atom_site_fract_z
_atom_site_occupancy
Li1 Li 0.0000 0.0544 0.2500 1
Nb1 Nb 0.0000 0.5000 0.0000 1
Tl1 Tl 0.0000 0.2330 0.7500 1
Se1 Se 0.0000 0.1274 0.0357 1
Se2 Se 0.0000 0.4453 0.2500 1
```

# 3
Density functional theory data (PBE-GGA) for a relaxed structure of LiNbSi.

Computed properties:
E_tot in eV per atom: -5.333

Structure (CIF):
```
data_LiNbSi
_symmetry_space_group_name_H-M 'F -4 3 m'
_symmetry_Int_Tables_number 216
_symmetry_space_group_name_Hall 'F -4 2 3'
_cell_length_a 5.9833
_cell_length_b 5.9833
_cell_length_c 5.9833
_cell_angle_alpha 90.00
_cell_angle_beta 90.00
_cell_angle_gamma 90.00
loop_
_atom_site_label
_atom_site_type_symbol
_atom_site_fract_x
_atom_site_fract_y
_atom_site_fract_z
_atom_site_occupancy
Li1 Li 0.0000 0.0000 0.0000 1
Nb1 Nb 0.2500 0.2500 0.2500 1
Si1 Si 0.0000 0.0000 0.5000 1
```

# 4
Density functional theory data (PBE-GGA) for a relaxed structure of LiNbSi.

Computed properties:
E_tot in eV per atom: -5.734

Structure (CIF):
```
data_LiNbSi
_symmetry_space_group_name_H-M 'F -4 3 m'
_symmetry_Int_Tables_number 216
_symmetry_space_group_name_Hall 'F -4 2 3'
_cell_length_a 5.8932
_cell_length_b 5.8932
_cell_length_c 5.8932
_cell_angle_alpha 90.00
_cell_angle_beta 90.00
_cell_angle_gamma 90.00
loop_
_atom_site_label
_atom_site_type_symbol
_atom_site_fract_x
_atom_site_fract_y
_atom_site_fract_z
_atom_site_occupancy
Li1 Li 0.0000 0.0000 0.0000 1
Nb1 Nb 0.0000 0.0000 0.5000 1
Si1 Si 0.2500 0.2500 0.2500 1
```

# 5
Density functional theory data (PBE-GGA) for a relaxed structure of LiSmNb.

Computed properties:
E above lowest polymorph in meV/atom: 0.0
E_tot in eV per atom: -4.383

Structure (CIF):
```
data_LiSmNb
_symmetry_space_group_name_H-M 'F -4 3 m'
_symmetry_Int_Tables_number 216
_symmetry_space_group_name_Hall 'F -4 2 3'
_cell_length_a 6.7942
_cell_length_b 6.7942
_cell_length_c 6.7942
_cell_angle_alpha 90.00
_cell_angle_beta 90.00
_cell_angle_gamma 90.00
loop_
_atom_site_label
_atom_site_type_symbol
_atom_site_fract_x
_atom_site_fract_y
_atom_site_fract_z
_atom_site_occupancy
Li1 Li 0.0000 0.0000 0.0000 1
Sm1 Sm 0.0000 0.0000 0.5000 1
Nb1 Nb 0.2500 0.2500 0.2500 1
```

# 6
Density functional theory data (PBE-GGA) for a relaxed structure of LiSmNb.

Computed properties:
E above lowest polymorph in meV/atom: 178.8
E_tot in eV per atom: -4.204

Structure (CIF):
```
data_LiSmNb
_symmetry_space_group_name_H-M 'F -4 3 m'
_symmetry_Int_Tables_number 216
_symmetry_space_group_name_Hall 'F -4 2 3'
_cell_length_a 6.8088
_cell_length_b 6.8088
_cell_length_c 6.8088
_cell_angle_alpha 90.00
_cell_angle_beta 90.00
_cell_angle_gamma 90.00
loop_
_atom_site_label
_atom_site_type_symbol
_atom_site_fract_x
_atom_site_fract_y
_atom_site_fract_z
_atom_site_occupancy
Li1 Li 0.0000 0.0000 0.0000 1
Sm1 Sm 0.2500 0.2500 0.2500 1
Nb1 Nb 0.0000 0.0000 0.5000 1
```

# 7
Density functional theory data (PBE-GGA) for a relaxed structure of LiNb2Sn.

Computed properties:
E_tot in eV per atom: -6.185

Structure (CIF):
```
data_LiNb2Sn
_symmetry_space_group_name_H-M 'P 63/m m c'
_symmetry_Int_Tables_number 194
_symmetry_space_group_name_Hall '-P 6c 2c'
_cell_length_a 4.5981
_cell_length_b 4.5981
_cell_length_c 8.5889
_cell_angle_alpha 90.00
_cell_angle_beta 90.00
_cell_angle_gamma 120.00
loop_
_atom_site_label
_atom_site_type_symbol
_atom_site_fract_x
_atom_site_fract_y
_atom_site_fract_z
_atom_site_occupancy
Li1 Li 0.0000 0.0000 0.0000 1
Nb1 Nb 0.3333 0.6667 0.0842 1
Sn1 Sn 0.3333 0.6667 0.7500 1
```

# 8
Density functional theory data (PBE-GGA) for a relaxed structure of LiNb2Sn.

Computed properties:
E_tot in eV per atom: -6.381

Structure (CIF):
```
data_LiNb2Sn
_symmetry_space_group_name_H-M 'F -4 3 m'
_symmetry_Int_Tables_number 216
_symmetry_space_group_name_Hall 'F -4 2 3'
_cell_length_a 6.6284
_cell_length_b 6.6284
_cell_length_c 6.6284
_cell_angle_alpha 90.00
_cell_angle_beta 90.00
_cell_angle_gamma 90.00
loop_
_atom_site_label
_atom_site_type_symbol
_atom_site_fract_x
_atom_site_fract_y
_atom_site_fract_z
_atom_site_occupancy
Li1 Li 0.0000 0.0000 0.0000 1
Nb1 Nb 0.0000 0.0000 0.5000 1
Nb2 Nb 0.2500 0.2500 0.2500 1
Sn1 Sn 0.2500 0.2500 0.7500 1
```

# 9
Density functional theory data (PBE-GGA) for a relaxed structure of Li2NbSn.

Computed properties:
E_tot in eV per atom: -4.380

Structure (CIF):
```
data_Li2NbSn
_symmetry_space_group_name_H-M 'F -4 3 m'
_symmetry_Int_Tables_number 216
_symmetry_space_group_name_Hall 'F -4 2 3'
_cell_length_a 6.5733
_cell_length_b 6.5733
_cell_length_c 6.5733
_cell_angle_alpha 90.00
_cell_angle_beta 90.00
_cell_angle_gamma 90.00
loop_
_atom_site_label
_atom_site_type_symbol
_atom_site_fract_x
_atom_site_fract_y
_atom_site_fract_z
_atom_site_occupancy
Li1 Li 0.0000 0.0000 0.0000 1
Li2 Li 0.2500 0.2500 0.2500 1
Nb1 Nb 0.2500 0.2500 0.7500 1
Sn1 Sn 0.0000 0.0000 0.5000 1
```

# 10
Density functional theory data (PBE-GGA) for a relaxed structure of SrLi2Nb.

Computed properties:
E_tot in eV per atom: -3.060

Structure (CIF):
```
data_SrLi2Nb
_symmetry_space_group_name_H-M 'F -4 3 m'
_symmetry_Int_Tables_number 216
_symmetry_space_group_name_Hall 'F -4 2 3'
_cell_length_a 7.4086
_cell_length_b 7.4086
_cell_length_c 7.4086
_cell_angle_alpha 90.00
_cell_angle_beta 90.00
_cell_angle_gamma 90.00
loop_
_atom_site_label
_atom_site_type_symbol
_atom_site_fract_x
_atom_site_fract_y
_atom_site_fract_z
_atom_site_occupancy
Sr1 Sr 0.0000 0.0000 0.0000 1
Li1 Li 0.0000 0.0000 0.5000 1
Li2 Li 0.2500 0.2500 0.2500 1
Nb1 Nb 0.2500 0.2500 0.7500 1
```

# 11
Density functional theory data (PBE-GGA) for a relaxed structure of SrLiNb.

Computed properties:
E above lowest polymorph in meV/atom: 0.0
E_tot in eV per atom: -3.177

Structure (CIF):
```
data_SrLiNb
_symmetry_space_group_name_H-M 'F -4 3 m'
_symmetry_Int_Tables_number 216
_symmetry_space_group_name_Hall 'F -4 2 3'
_cell_length_a 7.4642
_cell_length_b 7.4642
_cell_length_c 7.4642
_cell_angle_alpha 90.00
_cell_angle_beta 90.00
_cell_angle_gamma 90.00
loop_
_atom_site_label
_atom_site_type_symbol
_atom_site_fract_x
_atom_site_fract_y
_atom_site_fract_z
_atom_site_occupancy
Sr1 Sr 0.0000 0.0000 0.0000 1
Li1 Li 0.0000 0.0000 0.5000 1
Nb1 Nb 0.2500 0.2500 0.2500 1
```

# 12
Density functional theory data (PBE-GGA) for a relaxed structure of SrLiNb.

Computed properties:
E above lowest polymorph in meV/atom: 188.8
E_tot in eV per atom: -2.988

Structure (CIF):
```
data_SrLiNb
_symmetry_space_group_name_H-M 'F -4 3 m'
_symmetry_Int_Tables_number 216
_symmetry_space_group_name_Hall 'F -4 2 3'
_cell_length_a 7.5368
_cell_length_b 7.5368
_cell_length_c 7.5368
_cell_angle_alpha 90.00
_cell_angle_beta 90.00
_cell_angle_gamma 90.00
loop_
_atom_site_label
_atom_site_type_symbol
_atom_site_fract_x
_atom_site_fract_y
_atom_site_fract_z
_atom_site_occupancy
Sr1 Sr 0.0000 0.0000 0.0000 1
Li1 Li 0.2500 0.2500 0.7500 1
Nb1 Nb 0.2500 0.2500 0.2500 1
```

Copy entry 10 word for word.
Density functional theory data (PBE-GGA) for a relaxed structure of SrLi2Nb.

Computed properties:
E_tot in eV per atom: -3.060

Structure (CIF):
```
data_SrLi2Nb
_symmetry_space_group_name_H-M 'F -4 3 m'
_symmetry_Int_Tables_number 216
_symmetry_space_group_name_Hall 'F -4 2 3'
_cell_length_a 7.4086
_cell_length_b 7.4086
_cell_length_c 7.4086
_cell_angle_alpha 90.00
_cell_angle_beta 90.00
_cell_angle_gamma 90.00
loop_
_atom_site_label
_atom_site_type_symbol
_atom_site_fract_x
_atom_site_fract_y
_atom_site_fract_z
_atom_site_occupancy
Sr1 Sr 0.0000 0.0000 0.0000 1
Li1 Li 0.0000 0.0000 0.5000 1
Li2 Li 0.2500 0.2500 0.2500 1
Nb1 Nb 0.2500 0.2500 0.7500 1
```